# Tl7In12Bi

A geometry-optimized Tl7In12Bi structure (PBE, Alexandria).

```
Tl7In12Bi
1.0
6.983 0.000 0.000
-2.845 8.835 0.000
-3.357 -2.821 9.351
Tl In Bi
7 12 1
Direct
0.000 0.000 0.000 Tl
0.031 0.792 0.692 Tl
0.102 0.606 0.400 Tl
0.197 0.198 0.791 Tl
0.803 0.802 0.209 Tl
0.898 0.394 0.600 Tl
0.969 0.208 0.308 Tl
0.147 0.404 0.090 In
0.268 0.014 0.504 In
0.300 0.799 0.198 In
0.353 0.604 0.901 In
0.425 0.418 0.613 In
0.453 0.197 0.298 In
0.547 0.803 0.702 In
0.575 0.582 0.387 In
0.647 0.396 0.099 In
0.700 0.201 0.802 In
0.732 0.986 0.496 In
0.853 0.596 0.910 In
0.500 0.000 0.000 Bi
```

Values from the calculation:
- Total energy: -2.65 eV/atom


# Tl6InBi

A geometry-optimized Tl6InBi structure (PBE, Alexandria).

```
Tl6InBi
1.0
5.151 0.000 0.000
0.000 5.151 0.000
0.000 0.000 9.283
Tl In Bi
6 1 1
Direct
0.000 0.000 0.000 Tl
0.000 0.000 0.500 Tl
0.000 0.500 0.249 Tl
0.000 0.500 0.751 Tl
0.500 0.000 0.249 Tl
0.500 0.000 0.751 Tl
0.500 0.500 0.500 In
0.500 0.500 0.000 Bi
```

Values from the calculation:
- Total energy: -2.60 eV/atom
- ΔE to the lowest computed polymorph: 4 meV/atom


# Tl3In7Bi2

A geometry-optimized Tl3In7Bi2 structure (PBE, Alexandria).

```
Tl3In7Bi2
1.0
5.758 0.000 0.000
0.000 3.435 0.000
-1.365 0.000 18.305
Tl In Bi
3 7 2
Direct
0.000 0.000 0.000 Tl
0.217 0.500 0.362 Tl
0.783 0.500 0.638 Tl
0.127 0.500 0.843 In
0.256 0.000 0.528 In
0.357 0.000 0.154 In
0.500 0.500 0.000 In
0.643 0.000 0.846 In
0.744 0.000 0.472 In
0.873 0.500 0.157 In
0.297 0.000 0.700 Bi
0.703 0.000 0.300 Bi
```

Values from the calculation:
- Total energy: -2.81 eV/atom


# Tl2In15Bi2

A geometry-optimized Tl2In15Bi2 structure (PBE, Alexandria).

```
Tl2In15Bi2
1.0
5.431 3.135 5.529
-5.431 3.135 5.529
0.000 -6.271 5.529
Tl In Bi
2 15 2
Direct
0.162 0.162 0.162 Tl
0.838 0.838 0.838 Tl
0.000 0.500 0.500 In
0.123 0.123 0.655 In
0.123 0.655 0.123 In
0.210 0.500 0.790 In
0.210 0.790 0.500 In
0.345 0.877 0.877 In
0.500 0.000 0.500 In
0.500 0.210 0.790 In
0.500 0.500 0.000 In
0.500 0.790 0.210 In
0.655 0.123 0.123 In
0.790 0.210 0.500 In
0.790 0.500 0.210 In
0.877 0.345 0.877 In
0.877 0.877 0.345 In
0.375 0.375 0.375 Bi
0.625 0.625 0.625 Bi
```

Values from the calculation:
- Total energy: -2.75 eV/atom


# Tl3In12Bi

A geometry-optimized Tl3In12Bi structure (PBE, Alexandria).

```
Tl3In12Bi
1.0
4.669 0.000 0.000
0.000 4.669 0.000
0.000 0.000 20.807
Tl In Bi
3 12 1
Direct
0.000 0.000 0.000 Tl
0.000 0.000 0.250 Tl
0.000 0.000 0.750 Tl
0.000 0.500 0.126 In
0.000 0.500 0.377 In
0.000 0.500 0.623 In
0.000 0.500 0.874 In
0.500 0.000 0.126 In
0.500 0.000 0.377 In
0.500 0.000 0.623 In
0.500 0.000 0.874 In
0.500 0.500 0.000 In
0.500 0.500 0.251 In
0.500 0.500 0.500 In
0.500 0.500 0.749 In
0.000 0.000 0.500 Bi
```

Values from the calculation:
- Total energy: -2.70 eV/atom


# TlIn4Bi

A geometry-optimized TlIn4Bi structure (PBE, Alexandria).

```
TlIn4Bi
1.0
3.369 0.000 0.000
0.000 3.369 0.000
0.000 0.000 15.333
Tl In Bi
1 4 1
Direct
0.000 0.000 0.000 Tl
0.000 0.000 0.330 In
0.000 0.000 0.670 In
0.500 0.500 0.168 In
0.500 0.500 0.832 In
0.500 0.500 0.500 Bi
```

Values from the calculation:
- Total energy: -2.84 eV/atom
- ΔE to the lowest computed polymorph: 0 meV/atom


# TlInBi2

A geometry-optimized TlInBi2 structure (PBE, Alexandria).

```
TlInBi2
1.0
5.978 0.000 0.000
0.000 5.978 0.000
0.000 0.000 3.444
Tl In Bi
1 1 2
Direct
0.000 0.000 0.000 Tl
0.500 0.500 0.000 In
0.000 0.500 0.500 Bi
0.500 0.000 0.500 Bi
```

Values from the calculation:
- Total energy: -3.15 eV/atom
- ΔE to the lowest computed polymorph: 58 meV/atom


# Tl5In12Bi3

A geometry-optimized Tl5In12Bi3 structure (PBE, Alexandria).

```
Tl5In12Bi3
1.0
-9.034 9.034 9.034
9.034 -9.034 9.034
9.034 9.034 -9.034
Tl In Bi
20 48 12
Direct
0.000 0.000 0.000 Tl
0.000 0.000 0.500 Tl
0.000 0.500 0.000 Tl
0.000 0.500 0.500 Tl
0.125 0.750 0.875 Tl
0.125 0.875 0.250 Tl
0.250 0.125 0.875 Tl
0.250 0.625 0.375 Tl
0.375 0.250 0.625 Tl
0.375 0.625 0.750 Tl
0.500 0.000 0.000 Tl
0.500 0.000 0.500 Tl
0.500 0.500 0.000 Tl
0.500 0.500 0.500 Tl
0.625 0.375 0.250 Tl
0.625 0.750 0.375 Tl
0.750 0.375 0.625 Tl
0.750 0.875 0.125 Tl
0.875 0.125 0.750 Tl
0.875 0.250 0.125 Tl
0.065 0.227 0.142 In
0.065 0.339 0.924 In
0.076 0.642 0.415 In
0.076 0.935 0.661 In
0.085 0.727 0.661 In
0.085 0.858 0.424 In
0.142 0.065 0.227 In
0.142 0.576 0.915 In
0.161 0.227 0.585 In
0.161 0.435 0.576 In
0.227 0.142 0.065 In
0.227 0.585 0.161 In
0.273 0.339 0.915 In
0.273 0.435 0.358 In
0.339 0.915 0.273 In
0.339 0.924 0.065 In
0.358 0.273 0.435 In
0.358 0.585 0.924 In
0.415 0.076 0.642 In
0.415 0.839 0.773 In
0.424 0.085 0.858 In
0.424 0.839 0.565 In
0.435 0.358 0.273 In
0.435 0.576 0.161 In
0.565 0.424 0.839 In
0.565 0.642 0.727 In
0.576 0.161 0.435 In
0.576 0.915 0.142 In
0.585 0.161 0.227 In
0.585 0.924 0.358 In
0.642 0.415 0.076 In
0.642 0.727 0.565 In
0.661 0.076 0.935 In
0.661 0.085 0.727 In
0.727 0.565 0.642 In
0.727 0.661 0.085 In
0.773 0.415 0.839 In
0.773 0.858 0.935 In
0.839 0.565 0.424 In
0.839 0.773 0.415 In
0.858 0.424 0.085 In
0.858 0.935 0.773 In
0.915 0.142 0.576 In
0.915 0.273 0.339 In
0.924 0.065 0.339 In
0.924 0.358 0.585 In
0.935 0.661 0.076 In
0.935 0.773 0.858 In
0.125 0.250 0.375 Bi
0.125 0.375 0.750 Bi
0.250 0.375 0.125 Bi
0.250 0.875 0.625 Bi
0.375 0.125 0.250 Bi
0.375 0.750 0.125 Bi
0.625 0.250 0.875 Bi
0.625 0.875 0.750 Bi
0.750 0.125 0.375 Bi
0.750 0.625 0.875 Bi
0.875 0.625 0.250 Bi
0.875 0.750 0.625 Bi
```

Values from the calculation:
- Total energy: -2.63 eV/atom


# TlIn12Bi6

A geometry-optimized TlIn12Bi6 structure (PBE, Alexandria).

```
TlIn12Bi6
1.0
5.848 3.377 5.029
-5.848 3.377 5.029
0.000 -6.753 5.029
Tl In Bi
1 12 6
Direct
0.000 0.000 0.000 Tl
0.020 0.164 0.354 In
0.164 0.354 0.020 In
0.180 0.511 0.595 In
0.354 0.020 0.164 In
0.405 0.820 0.489 In
0.489 0.405 0.820 In
0.511 0.595 0.180 In
0.595 0.180 0.511 In
0.646 0.980 0.836 In
0.820 0.489 0.405 In
0.836 0.646 0.980 In
0.980 0.836 0.646 In
0.135 0.652 0.238 Bi
0.238 0.135 0.652 Bi
0.348 0.762 0.865 Bi
0.652 0.238 0.135 Bi
0.762 0.865 0.348 Bi
0.865 0.348 0.762 Bi
```

Values from the calculation:
- Total energy: -3.01 eV/atom
- ΔE to the lowest computed polymorph: 0 meV/atom


# TlIn4Bi2

A geometry-optimized TlIn4Bi2 structure (PBE, Alexandria).

```
TlIn4Bi2
1.0
2.709 1.564 8.986
-2.709 1.564 8.986
0.000 -3.128 8.986
Tl In Bi
1 4 2
Direct
0.000 0.000 0.000 Tl
0.129 0.129 0.129 In
0.381 0.381 0.381 In
0.619 0.619 0.619 In
0.871 0.871 0.871 In
0.248 0.248 0.248 Bi
0.752 0.752 0.752 Bi
```

Values from the calculation:
- Total energy: -2.97 eV/atom
- ΔE to the lowest computed polymorph: 0 meV/atom


# Tl5In4Bi4

A geometry-optimized Tl5In4Bi4 structure (PBE, Alexandria).

```
Tl5In4Bi4
1.0
-6.430 6.430 2.457
6.430 -6.430 2.457
6.430 6.430 -2.457
Tl In Bi
5 4 4
Direct
0.000 0.000 0.000 Tl
0.313 0.431 0.744 Tl
0.431 0.687 0.119 Tl
0.569 0.313 0.881 Tl
0.687 0.569 0.256 Tl
0.083 0.603 0.686 In
0.397 0.083 0.480 In
0.603 0.917 0.520 In
0.917 0.397 0.314 In
0.120 0.256 0.376 Bi
0.256 0.880 0.136 Bi
0.744 0.120 0.864 Bi
0.880 0.744 0.624 Bi
```

Values from the calculation:
- Total energy: -2.94 eV/atom


# Tl2In2Bi

A geometry-optimized Tl2In2Bi structure (PBE, Alexandria).

```
Tl2In2Bi
1.0
-2.227 2.227 8.022
2.227 -2.227 8.022
2.227 2.227 -8.022
Tl In Bi
2 2 1
Direct
0.250 0.750 0.500 Tl
0.750 0.250 0.500 Tl
0.092 0.092 0.000 In
0.908 0.908 0.000 In
0.500 0.500 0.000 Bi
```

Values from the calculation:
- Total energy: -2.68 eV/atom
- ΔE to the lowest computed polymorph: 137 meV/atom


# TlIn5Bi4

A geometry-optimized TlIn5Bi4 structure (PBE, Alexandria).

```
TlIn5Bi4
1.0
3.492 0.000 0.000
0.000 3.492 0.000
0.000 0.000 24.560
Tl In Bi
1 5 4
Direct
0.000 0.000 0.000 Tl
0.500 0.500 0.098 In
0.500 0.500 0.298 In
0.500 0.500 0.500 In
0.500 0.500 0.702 In
0.500 0.500 0.902 In
0.000 0.000 0.197 Bi
0.000 0.000 0.400 Bi
0.000 0.000 0.600 Bi
0.000 0.000 0.803 Bi
```

Values from the calculation:
- Total energy: -3.14 eV/atom


# TlIn4Bi

A geometry-optimized TlIn4Bi structure (PBE, Alexandria).

```
TlIn4Bi
1.0
0.000 4.477 4.477
4.477 0.000 4.477
4.477 4.477 0.000
Tl In Bi
1 4 1
Direct
0.000 0.000 0.000 Tl
0.126 0.625 0.625 In
0.625 0.126 0.625 In
0.625 0.625 0.126 In
0.625 0.625 0.625 In
0.250 0.250 0.250 Bi
```

Values from the calculation:
- Total energy: -2.79 eV/atom
- ΔE to the lowest computed polymorph: 57 meV/atom


# TlIn7Bi4

A geometry-optimized TlIn7Bi4 structure (PBE, Alexandria).

```
TlIn7Bi4
1.0
7.424 -2.950 0.000
7.424 2.950 0.000
-6.752 0.000 8.928
Tl In Bi
1 7 4
Direct
0.000 0.000 0.000 Tl
0.062 0.062 0.408 In
0.234 0.234 0.307 In
0.349 0.349 0.144 In
0.500 0.500 0.000 In
0.651 0.651 0.856 In
0.766 0.766 0.693 In
0.938 0.938 0.592 In
0.210 0.210 0.787 Bi
0.382 0.382 0.649 Bi
0.618 0.618 0.351 Bi
0.790 0.790 0.213 Bi
```

Values from the calculation:
- Total energy: -3.00 eV/atom


# Tl8InBi2

A geometry-optimized Tl8InBi2 structure (PBE, Alexandria).

```
Tl8InBi2
1.0
9.109 -2.885 0.000
9.109 2.885 0.000
-3.048 0.000 6.809
Tl In Bi
8 1 2
Direct
0.000 0.000 0.234 Tl
0.000 0.000 0.766 Tl
0.174 0.174 0.673 Tl
0.353 0.353 0.083 Tl
0.353 0.353 0.624 Tl
0.647 0.647 0.376 Tl
0.647 0.647 0.917 Tl
0.826 0.826 0.327 Tl
0.500 0.500 0.500 In
0.186 0.186 0.186 Bi
0.814 0.814 0.814 Bi
```

Values from the calculation:
- Total energy: -2.67 eV/atom
- ΔE to the lowest computed polymorph: 0 meV/atom


# TlIn8Bi2

A geometry-optimized TlIn8Bi2 structure (PBE, Alexandria).

```
TlIn8Bi2
1.0
6.590 -4.583 0.000
6.590 4.583 0.000
-0.927 0.000 5.765
Tl In Bi
1 8 2
Direct
0.000 0.000 0.000 Tl
0.205 0.643 0.230 In
0.255 0.255 0.077 In
0.357 0.795 0.770 In
0.392 0.392 0.683 In
0.608 0.608 0.317 In
0.643 0.205 0.230 In
0.745 0.745 0.923 In
0.795 0.357 0.770 In
0.152 0.152 0.530 Bi
0.848 0.848 0.470 Bi
```

Values from the calculation:
- Total energy: -2.80 eV/atom
- ΔE to the lowest computed polymorph: 70 meV/atom


# Tl10In6Bi

A geometry-optimized Tl10In6Bi structure (PBE, Alexandria).

```
Tl10In6Bi
1.0
9.491 0.000 0.000
-4.745 8.219 0.000
0.000 0.000 6.684
Tl In Bi
10 6 1
Direct
0.000 0.307 0.331 Tl
0.000 0.693 0.669 Tl
0.307 0.000 0.331 Tl
0.307 0.307 0.669 Tl
0.333 0.667 0.000 Tl
0.333 0.667 0.500 Tl
0.667 0.333 0.000 Tl
0.667 0.333 0.500 Tl
0.693 0.000 0.669 Tl
0.693 0.693 0.331 Tl
0.000 0.343 0.832 In
0.000 0.657 0.168 In
0.343 0.000 0.832 In
0.343 0.343 0.168 In
0.657 0.000 0.168 In
0.657 0.657 0.832 In
0.000 0.000 0.000 Bi
```

Values from the calculation:
- Total energy: -2.55 eV/atom